1.
Material: SiAgBr2
Method: DFT, GGA-PBE
State: optimized geometry

Cell lengths 3.9429, 3.9429, 15.1134 Å; angles 90.00, 90.00, 90.00 degrees
Closest atoms and distances in Å follow each position.
Space group I-4m2 (No. 119)
One atom of each set of equivalent atoms:
Si 0.0000 0.0000 0.0000 (multiplicity 2)  4 Br 2.79
Ag 0.0000 0.5000 0.7500 (multiplicity 2)  4 Br 2.79
Br 0.0000 0.0000 0.5000 (multiplicity 2)  4 Si 2.79
Br 0.0000 0.5000 0.2500 (multiplicity 2)  4 Ag 2.79

The calculation puts the energy relative to the lowest polymorph listed for this composition at 137 kJ/mol of formula units. The calculation puts the formation energy (no corrections) at 0.26 eV/atom.


2.
Material: ErGeCl2
Method: DFT, GGA-PBE
State: optimized geometry

Cell lengths 3.5270, 3.5270, 29.4997 Å; angles 90.00, 90.00, 120.00 degrees
Closest atoms and distances in Å follow each position.
Space group R-3m (No. 166, hexagonal axes)
One atom of each set of equivalent atoms:
Er 0.0000 0.0000 0.0000 (multiplicity 3)  2 Cl 2.53
Ge 0.0000 0.0000 0.5000 (multiplicity 3)  6 Cl 3.14
Cl 0.0000 0.0000 0.0857 (multiplicity 6)  1 Er 2.53

The calculation puts the formation energy (no corrections) at -0.59 eV/atom.


3.
Material: LiWSe
Method: DFT, GGA-PBE
State: optimized geometry

Cell lengths 3.0992, 3.0992, 6.3938 Å; angles 90.00, 90.00, 120.00 degrees
Closest atoms and distances in Å follow each position.
Space group P3m1 (No. 156)
One atom of each set of equivalent atoms:
Li 0.0000 0.0000 0.0000 (multiplicity 1)  3 Se 2.91, 3 W 2.95, 6 Li 3.10
W 0.3333 0.6667 0.6338 (multiplicity 1)  3 Se 2.51
Se 0.6667 0.3333 0.3586 (multiplicity 1)  3 W 2.51

The calculation puts the energy relative to the lowest polymorph listed for this composition at 0 kJ/mol of formula units. The calculation puts the formation energy (no corrections) at 0.09 eV/atom.


4.
Material: BaLi2Pr2Ge2
Method: DFT, GGA-PBE
State: optimized geometry

Cell lengths 4.7739, 4.7739, 29.3359 Å; angles 90.00, 90.00, 120.00 degrees
Closest atoms and distances in Å follow each position.
Space group R-3m (No. 166, hexagonal axes)
One atom of each set of equivalent atoms:
Ba 0.0000 0.0000 0.0000 (multiplicity 3)  6 Li 3.67, 6 Ge 3.69, 2 Pr 3.82
Li 0.0000 0.0000 0.4159 (multiplicity 6)  3 Ge 2.76
Pr 0.0000 0.0000 0.1304 (multiplicity 6)  3 Ge 3.08, 3 Li 3.09
Ge 0.0000 0.0000 0.2495 (multiplicity 6)  3 Li 2.76, 3 Pr 3.08


5.
Material: KBa2Re
Method: DFT, GGA-PBE
State: optimized geometry

Cell lengths 8.3474, 8.3474, 8.3474 Å; angles 90.00, 90.00, 90.00 degrees
Closest atoms and distances in Å follow each position.
Space group Fm-3m (No. 225)
One atom of each set of equivalent atoms:
K 0.0000 0.0000 0.0000 (multiplicity 4)  8 Ba 3.61
Ba 0.2500 0.2500 0.2500 (multiplicity 8)  4 K 3.61, 4 Re 3.61
Re 0.0000 0.0000 0.5000 (multiplicity 4)  8 Ba 3.61

The calculation puts the energy relative to the lowest polymorph listed for this composition at 94 kJ/mol of formula units.


6.
Material: RbHPb
Method: DFT, GGA-PBE
State: optimized geometry

Cell lengths 3.7511, 3.7776, 13.0891 Å; angles 89.86, 89.58, 88.31 degrees
Closest atoms and distances in Å follow each position.
Space group P-1 (No. 2)
One atom of each set of equivalent atoms:
Rb 0.0127 0.4981 0.1792 (multiplicity 2)  4 H 3.03-3.04
H 0.1069 0.9981 0.9992 (multiplicity 2)  1 H 0.80
Pb 0.4913 0.0048 0.6148 (multiplicity 2)  1 Pb 3.01

The calculation puts the energy relative to the lowest polymorph listed for this composition at 69 kJ/mol of formula units.


7.
Material: Na2Cu4S3
Method: DFT, GGA-PBE
State: optimized geometry

Cell lengths 16.1507, 3.8208, 10.2818 Å; angles 90.00, 108.01, 90.00 degrees
Closest atoms and distances in Å follow each position.
Space group C2/m (No. 12)
One atom of each set of equivalent atoms:
Na 0.1684 0.0000 0.3418 (multiplicity 4)  6 S 2.80-3.02
Na 0.1870 0.5000 0.8426 (multiplicity 4)  6 S 2.91-3.11, 4 Cu 3.24-3.25
Cu 0.0177 0.5000 0.3832 (multiplicity 4)  3 S 2.27-2.45
Cu 0.0262 0.5000 0.1333 (multiplicity 4)  3 S 2.30-2.43
Cu 0.0869 0.0000 0.5873 (multiplicity 4)  3 S 2.27-2.37
Cu 0.0907 0.0000 0.0066 (multiplicity 4)  3 S 2.32-2.34
S 0.0273 0.0000 0.7710 (multiplicity 4)  6 Cu 2.32-2.45
S 0.1502 0.5000 0.5462 (multiplicity 4)  3 Cu 2.27
S 0.1644 0.5000 0.1129 (multiplicity 4)  3 Cu 2.30-2.34

The calculation puts the formation energy (no corrections) at -0.51 eV/atom.


8.
Material: DySiB
Method: DFT, GGA-PBE
State: optimized geometry

Cell lengths 4.6602, 4.6602, 9.7059 Å; angles 90.00, 90.00, 90.00 degrees
Closest atoms and distances in Å follow each position.
Space group I4_1md (No. 109)
One atom of each set of equivalent atoms:
Dy 0.0000 0.0000 0.0000 (multiplicity 4)  2 B 2.35
Si 0.0000 0.0000 0.4913 (multiplicity 4)  1 B 2.03
B 0.0000 0.0000 0.2823 (multiplicity 4)  1 Si 2.03

The calculation puts the energy relative to the lowest polymorph listed for this composition at 248 kJ/mol of formula units. The calculation puts the formation energy (no corrections) at 0.19 eV/atom.


9.
Material: AgTeI3
Method: DFT, GGA-PBE
State: optimized geometry

Cell lengths 4.7888, 8.6869, 10.9964 Å; angles 100.05, 95.51, 93.78 degrees
Closest atoms and distances in Å follow each position.
Space group P1 (No. 1)
One atom of each set of equivalent atoms:
Ag 0.0000 0.0000 0.0000 (multiplicity 1)  4 I 2.83-3.09, 1 Ag 3.05
Ag 0.3006 0.9045 0.7694 (multiplicity 1)  4 I 2.82-2.96, 1 Ag 3.05
Te 0.2735 0.4658 0.3697 (multiplicity 1)  3 I 2.82-3.10, 1 Te 2.85
Te 0.9904 0.2873 0.5221 (multiplicity 1)  1 I 2.81, 1 Te 2.85
I 0.0746 0.3276 0.1140 (multiplicity 1)  1 Ag 2.89, 1 Te 2.90
I 0.3976 0.5883 0.6534 (multiplicity 1)  1 Ag 2.91, 2 Te 3.10-3.19
I 0.4797 0.8272 0.0102 (multiplicity 1)  3 Ag 2.83-2.91
I 0.6798 0.0600 0.3368 (multiplicity 1)  1 Te 2.81
I 0.8334 0.0817 0.7420 (multiplicity 1)  3 Ag 2.82-3.09
I 0.9833 0.7347 0.3523 (multiplicity 1)  1 Te 2.82

The calculation puts the energy relative to the lowest polymorph listed for this composition at 0 kJ/mol of formula units. The calculation puts the formation energy (no corrections) at -0.11 eV/atom.


10.
Material: Cs2IrRuO
Method: DFT, GGA-PBE
State: optimized geometry

Cell lengths 6.5831, 6.5831, 3.6687 Å; angles 90.00, 90.00, 90.00 degrees
Closest atoms and distances in Å follow each position.
Space group P4/mmm (No. 123)
One atom of each set of equivalent atoms:
Cs 0.0000 0.5000 0.0000 (multiplicity 2)  2 O 3.29, 2 Cs 3.67
Ir 0.0000 0.0000 0.5000 (multiplicity 1)  2 Ir 3.67, 8 Cs 3.77
Ru 0.5000 0.5000 0.5000 (multiplicity 1)  2 O 1.83
O 0.5000 0.5000 0.0000 (multiplicity 1)  2 Ru 1.83

The calculation puts the formation energy (no corrections) at 0.62 eV/atom.


11.
Material: CaTlCr2
Method: DFT, GGA-PBE
State: optimized geometry

Cell lengths 6.9610, 6.9850, 7.0064 Å; angles 90.00, 90.00, 90.00 degrees
Closest atoms and distances in Å follow each position.
Space group F222 (No. 22)
One atom of each set of equivalent atoms:
Ca 0.0000 0.0000 0.0000 (multiplicity 4)  4 Cr 3.02, 4 Tl 3.02
Tl 0.2500 0.2500 0.7500 (multiplicity 4)  4 Cr 3.02, 4 Ca 3.02
Cr 0.0000 0.0000 0.5000 (multiplicity 4)  4 Cr 3.02, 4 Tl 3.02
Cr 0.2500 0.2500 0.2500 (multiplicity 4)  4 Cr 3.02, 4 Ca 3.02

The calculation puts the energy relative to the lowest polymorph listed for this composition at 50 kJ/mol of formula units.


12.
Material: OsPb2Br
Method: DFT, GGA-PBE
State: optimized geometry

Cell lengths 3.3515, 5.7541, 10.2755 Å; angles 90.00, 90.00, 90.00 degrees
Closest atoms and distances in Å follow each position.
Space group Cmm2 (No. 35)
One atom of each set of equivalent atoms:
Os 0.0000 0.0000 0.0000 (multiplicity 2)  2 Br 2.61, 2 Pb 2.78
Pb 0.0000 0.0000 0.4792 (multiplicity 2)  8 Pb 3.33-3.56, 2 Br 3.37
Pb 0.0000 0.5000 0.7844 (multiplicity 2)  2 Os 2.78
Br 0.0000 0.5000 0.1944 (multiplicity 2)  2 Os 2.61

The calculation puts the energy relative to the lowest polymorph listed for this composition at 137 kJ/mol of formula units. The calculation puts the formation energy (no corrections) at 0.76 eV/atom.


13.
Material: CaRe3O
Method: DFT, GGA-PBE
State: optimized geometry

Cell lengths 4.2346, 4.2346, 4.2346 Å; angles 90.00, 90.00, 90.00 degrees
Closest atoms and distances in Å follow each position.
Space group Pm-3m (No. 221)
One atom of each set of equivalent atoms:
Ca 0.0000 0.0000 0.0000 (multiplicity 1)  12 Re 2.99
Re 0.0000 0.5000 0.5000 (multiplicity 3)  2 O 2.12
O 0.5000 0.5000 0.5000 (multiplicity 1)  6 Re 2.12

The calculation puts the energy relative to the lowest polymorph listed for this composition at 0 kJ/mol of formula units. The calculation puts the formation energy (no corrections) at 0.71 eV/atom.


14.
Material: PaTiN2
Method: DFT, GGA-PBE
State: optimized geometry

Cell lengths 3.1077, 3.1077, 17.6033 Å; angles 90.00, 90.00, 120.00 degrees
Closest atoms and distances in Å follow each position.
Space group R3m (No. 160, hexagonal axes)
One atom of each set of equivalent atoms:
Pa 0.0000 0.0000 0.0000 (multiplicity 3)  6 N 2.42-2.49
Ti 0.0000 0.0000 0.8275 (multiplicity 3)  6 N 2.16-2.22
N 0.0000 0.0000 0.4259 (multiplicity 3)  3 Ti 2.16
N 0.0000 0.0000 0.5683 (multiplicity 3)  3 Ti 2.22

The calculation puts the formation energy (no corrections) at -1.31 eV/atom.


15.
Material: Mg4Si7
Method: DFT, GGA-PBE
State: optimized geometry

Cell lengths 3.8096, 8.2778, 13.8113 Å; angles 98.75, 97.77, 90.08 degrees
Closest atoms and distances in Å follow each position.
Space group P1 (No. 1)
One atom of each set of equivalent atoms:
Mg 0.0000 0.0000 0.0000 (multiplicity 1)  5 Si 2.76-2.90
Mg 0.0310 0.4712 0.0615 (multiplicity 1)  8 Si 2.78-3.07, 1 Mg 3.00
Mg 0.0895 0.8074 0.1812 (multiplicity 1)  5 Si 2.72-2.91, 1 Mg 3.00
Mg 0.1692 0.4421 0.3401 (multiplicity 1)  4 Si 2.76-2.80
Mg 0.5920 0.2108 0.1826 (multiplicity 1)  4 Si 2.68-2.88
Mg 0.7261 0.2081 0.4537 (multiplicity 1)  8 Si 2.91-3.15
Mg 0.8693 0.5475 0.7433 (multiplicity 1)  8 Si 2.87-3.07, 1 Mg 3.00
Mg 0.9192 0.2416 0.8352 (multiplicity 1)  7 Si 2.75-2.99, 1 Mg 3.00
Si 0.1485 0.1058 0.2960 (multiplicity 1)  1 Si 2.35
Si 0.2034 0.9192 0.4096 (multiplicity 1)  4 Si 2.35-2.41
Si 0.2670 0.4593 0.5457 (multiplicity 1)  3 Si 2.38-2.40
Si 0.2876 0.0256 0.5835 (multiplicity 1)  4 Si 2.35-2.41
Si 0.3365 0.2954 0.6758 (multiplicity 1)  2 Si 2.39-2.40
Si 0.4193 0.7758 0.8533 (multiplicity 1)  4 Si 2.37-2.54
Si 0.4534 0.4956 0.9079 (multiplicity 1)  3 Si 2.43-2.56
Si 0.4949 0.2379 0.9898 (multiplicity 1)  1 Si 2.56, 7 Mg 2.68-2.85
Si 0.5117 0.7462 0.0268 (multiplicity 1)  2 Si 2.42-2.43
Si 0.6130 0.5627 0.2243 (multiplicity 1)  1 Si 2.40
Si 0.6887 0.7402 0.3800 (multiplicity 1)  4 Si 2.40-2.41
Si 0.7604 0.6263 0.5310 (multiplicity 1)  4 Si 2.35-2.40
Si 0.8088 0.8861 0.6279 (multiplicity 1)  4 Si 2.31-2.36
Si 0.8917 0.9056 0.7979 (multiplicity 1)  3 Si 2.31-2.37

The calculation puts the energy relative to the lowest polymorph listed for this composition at 10 kJ/mol of formula units. The calculation puts the formation energy (no corrections) at 0.11 eV/atom.


16.
Material: CeTlGeAu
Method: DFT, GGA-PBE
State: optimized geometry

Cell lengths 7.2263, 7.2263, 7.2263 Å; angles 90.00, 90.00, 90.00 degrees
Closest atoms and distances in Å follow each position.
Space group F-43m (No. 216)
One atom of each set of equivalent atoms:
Ce 0.0000 0.0000 0.0000 (multiplicity 4)  4 Ge 3.13, 4 Au 3.13
Tl 0.0000 0.0000 0.5000 (multiplicity 4)  4 Ge 3.13, 4 Au 3.13
Ge 0.2500 0.2500 0.2500 (multiplicity 4)  4 Tl 3.13, 4 Ce 3.13
Au 0.2500 0.2500 0.7500 (multiplicity 4)  4 Tl 3.13, 4 Ce 3.13


17.
Material: La2YMo
Method: DFT, GGA-PBE
State: optimized geometry

Cell lengths 5.0062, 5.0062, 8.6229 Å; angles 90.00, 90.00, 90.00 degrees
Closest atoms and distances in Å follow each position.
Space group I-4m2 (No. 119)
One atom of each set of equivalent atoms:
La 0.0000 0.0000 0.0000 (multiplicity 2)  4 La 3.30, 4 Mo 3.30, 4 Y 3.54
La 0.0000 0.5000 0.2500 (multiplicity 2)  4 La 3.30, 4 Y 3.30, 4 Mo 3.54
Y 0.0000 0.0000 0.5000 (multiplicity 2)  8 La 3.30-3.54, 4 Mo 3.30
Mo 0.0000 0.5000 0.7500 (multiplicity 2)  8 La 3.30-3.54, 4 Y 3.30

The calculation puts the energy relative to the lowest polymorph listed for this composition at 53 kJ/mol of formula units.


18.
Material: SiGeN
Method: DFT, GGA-PBE
State: optimized geometry

Cell lengths 7.9710, 4.9510, 5.3125 Å; angles 90.00, 96.32, 90.00 degrees
Closest atoms and distances in Å follow each position.
Space group Cc (No. 9)
One atom of each set of equivalent atoms:
Si 0.0000 0.1502 0.0000 (multiplicity 4)  2 N 1.73-1.74
Ge 0.3141 0.0607 0.0705 (multiplicity 4)  1 N 1.92
N 0.4353 0.3830 0.1772 (multiplicity 4)  2 Si 1.73-1.74, 1 Ge 1.92

The calculation puts the energy relative to the lowest polymorph listed for this composition at 106 kJ/mol of formula units. The calculation puts the formation energy (no corrections) at -0.09 eV/atom.


19.
Material: CaTa2HgAs
Method: DFT, GGA-PBE
State: optimized geometry

Cell lengths 4.8471, 4.8471, 5.3056 Å; angles 90.00, 90.00, 90.00 degrees
Closest atoms and distances in Å follow each position.
Space group P4/mmm (No. 123)
One atom of each set of equivalent atoms:
Ca 0.0000 0.0000 0.0000 (multiplicity 1)  4 Hg 3.43, 8 Ta 3.59
Ta 0.0000 0.5000 0.5000 (multiplicity 2)  2 As 2.42
Hg 0.5000 0.5000 0.0000 (multiplicity 1)  2 As 2.65
As 0.5000 0.5000 0.5000 (multiplicity 1)  4 Ta 2.42, 2 Hg 2.65

The calculation puts the energy relative to the lowest polymorph listed for this composition at 0 kJ/mol of formula units.


20.
Material: Li2HoErAu4
Method: DFT, GGA-PBE
State: optimized geometry

Cell lengths 4.8766, 4.8766, 23.2633 Å; angles 90.00, 90.00, 120.00 degrees
Closest atoms and distances in Å follow each position.
Space group R-3m (No. 166, hexagonal axes)
One atom of each set of equivalent atoms:
Li 0.0000 0.0000 0.2499 (multiplicity 6)  8 Au 2.84-3.00
Ho 0.0000 0.0000 0.0000 (multiplicity 3)  8 Au 2.96-2.97
Er 0.0000 0.0000 0.5000 (multiplicity 3)  8 Au 2.96
Au 0.0000 0.0000 0.1278 (multiplicity 6)  4 Li 2.84-3.00, 3 Er 2.96, 1 Ho 2.97
Au 0.0000 0.0000 0.3728 (multiplicity 6)  4 Li 2.86-3.00, 1 Er 2.96, 3 Ho 2.96


The calculation returns the following total magnetization values, one per record and in order: 1.90 0.00 0.35 0.00 8.21 0.00 0.00 0.00 0.00 2.26 0.98 0.00 0.00 0.00 0.00 3.41 0.00 0.00 0.00 0.00 Bohr magnetons per cell.
The calculation returns the following E values, one per record and in order: -0.1943 -0.2801 -0.4430 -0.2923 -0.2398 -0.1884 -0.2938 -0.3951 -0.1649 -0.3192 -0.4039 -0.3178 -0.5988 -0.7214 -0.2885 -0.3228 -0.4669 -0.4564 -0.3993 -0.2927 Ry per atom.